(1)
Si3PtO, relaxed, DFT PBE; space-group type = Pm-3m
1.0
-3.161 2.232 2.609
-0.633 -3.864 2.539
3.374 1.366 2.920
O Si Pt
1 3 1
direct
0.500 0.500 0.500
0.500 0.000 0.000
0.000 0.500 0.000
0.000 0.000 0.500
0.000 0.000 0.000

(2)
SiPtO2, relaxed, DFT PBE; space-group type = R-3m
1.0
-4.877 -3.909 3.246
-3.060 -3.355 5.383
-5.064 -1.442 4.677
Si O Pt
1 2 1
direct
0.000 0.000 0.000
0.922 0.922 0.922
0.078 0.078 0.078
0.500 0.500 0.500

Taking the records one at a time from the top gives energy relative to the elements, uncorrected values of 754 -173 meV/atom.